VASP calculation (meta-GGA SCAN) on a PBEsol-optimized structure of Na2TiCl.

For the energy relative to the elements, uncorrected, the calculation gives 142 meV/atom. As for the total magnetization: 3.21 μB per formula unit.

The space group is Fm-3m (No. 225) and the conventional cell measures 7.575, 7.575 and 7.575 Å, with angles of 90.00, 90.00 and 90.00 degrees. The inequivalent atoms are Na at (0.250, 0.250, 0.250), Ti at (0.000, 0.000, 0.000) and Cl at (0.000, 0.000, 0.500).